(1)
4
Lattice="2.9712 0.0000 0.0000 0.0000 3.5227 0.0000 0.0000 0.0000 6.5696" Properties=species:S:1:pos:R:3 comment="ScTa2Be | the Alexandria database | PBE-GGA | optimized geometry" dos_ef_per_ev_atom=0.859 delta_e_f_mev_per_atom=117 mass_density_g_cm3=10.043 m_tot_mub_per_fu=0.00 spacegroup="Pmm2, No. 25" pbc="T T T"
Ta 0.0000 0.0000 0.1499
Ta 1.4856 1.7613 1.8194
Sc 1.4856 1.7613 4.7862
Be 0.0000 0.0000 3.0990

---

(2)
24
Lattice="-6.2899 -7.4166 3.0317 4.1897 -3.4412 -9.2936 8.1309 -4.6877 5.4013" Properties=species:S:1:pos:R:3 comment="Ba4CdN | the Alexandria database | PBE-GGA | optimized geometry" dos_ef_per_ev_atom=0.950 energy_ev_per_atom=-3.08 mass_density_g_cm3=3.922 m_tot_mub_per_fu=0.00 spacegroup="P2_1/c, No. 14" pbc="T T T"
N 4.0145 -4.4676 -6.2389
N 5.9483 -8.3364 -1.6530
N 0.0824 -7.2092 0.7924
N 2.0162 -11.0780 5.3784
Ba 3.6665 -9.0542 -2.5148
Ba 3.1405 -6.4646 -7.5135
Ba 6.1803 -5.9692 -0.8048
Ba 8.7761 -5.9658 3.3129
Ba -0.1497 -9.5764 -0.0557
Ba 2.8902 -9.0810 6.6530
Ba 2.3642 -6.4914 1.6542
Ba 3.1893 -10.7692 3.1786
Ba -1.6165 -7.2149 2.6429
Ba 6.2953 -9.6566 0.4404
Ba 7.6471 -8.3307 -3.5035
Ba -0.2646 -5.8890 -1.3010
Ba 2.8414 -4.7763 -4.0392
Ba -2.7455 -9.5798 -4.1735
Ba 6.4851 -4.7718 -6.4606
Ba -0.4545 -10.7738 5.6000
Cd 3.3211 -3.4190 -0.3821
Cd 0.6551 -7.9163 -4.5865
Cd 2.7096 -12.1266 -0.4785
Cd 5.3756 -7.6293 3.7259

---

(3)
3
Lattice="-0.6752 -1.3522 -5.8427 1.3545 -4.0751 -4.2403 -2.3769 -4.0208 -3.8217" Properties=species:S:1:pos:R:3 comment="BeTe2 | the Alexandria database | PBE-GGA | optimized geometry" dos_ef_per_ev_atom=0.528 relative_energy_mev_per_atom=244.4 mass_density_g_cm3=6.379 m_tot_mub_per_fu=0.00 spacegroup="R-3m, No. 166" pbc="T T T"
Be 0.0000 0.0000 0.0000
Te -0.4200 -2.3372 -3.4397
Te -1.2777 -7.1108 -10.4650

---

(4)
4
Lattice="-4.0326 9.0990 1.5760 -1.1665 9.6620 2.6123 -1.7966 9.9066 -0.4124" Properties=species:S:1:pos:R:3 comment="ZnMoCl2 | the Alexandria database | PBE-GGA | optimized geometry" dos_ef_per_ev_atom=0.393 relative_energy_mev_per_atom=174.0 mass_density_g_cm3=4.675 m_tot_mub_per_fu=0.00 spacegroup="R-3m, No. 166" pbc="T T T"
Cl -6.2370 25.5584 3.3664
Cl -0.7587 3.1092 0.4095
Zn 0.0000 0.0000 0.0000
Mo -3.4978 14.3338 1.8880

---

(5)
5
Lattice="5.7809 0.0000 0.0000 0.0000 4.6511 0.0000 0.0000 0.0000 5.7809" Properties=species:S:1:pos:R:3 comment="Sr2CrIrPd | the Alexandria database | PBE-GGA | optimized geometry" dos_ef_per_ev_atom=0.683 delta_e_f_mev_per_atom=299 mass_density_g_cm3=5.618 m_tot_mub_per_fu=3.92 spacegroup="P4/mmm, No. 123" pbc="T T T"
Sr 0.0000 0.0000 2.8905
Sr 2.8905 0.0000 0.0000
Ir 0.0000 0.0000 0.0000
Pd 2.8905 2.3255 2.8905
Cr 0.0000 2.3255 0.0000

---

(6)
4
Lattice="-1.7246 0.5368 -3.1238 -3.5806 0.4453 -0.0307 -0.4002 11.4071 0.0973" Properties=species:S:1:pos:R:3 comment="CaPrMg2 | the Alexandria database | PBE-GGA | optimized geometry" dos_ef_per_ev_atom=1.054 delta_e_f_mev_per_atom=57 mass_density_g_cm3=3.013 m_tot_mub_per_fu=0.00 spacegroup="R3m, No. 160" pbc="T T T"
Mg -1.4268 3.0936 -0.7647
Mg -0.7424 8.6358 -0.1901
Ca -3.9391 12.0454 -2.0074
Pr -2.8501 6.2162 -1.5264

---

(7)
4
Lattice="9.3707 0.0171 0.0100 8.8850 2.9776 0.0100 8.8850 1.4575 2.5965" Properties=species:S:1:pos:R:3 comment="Mg2AlRu | the Alexandria database | PBE-GGA | optimized geometry" dos_ef_per_ev_atom=0.575 delta_e_f_mev_per_atom=-29 mass_density_g_cm3=4.087 m_tot_mub_per_fu=0.00 spacegroup="R3m, No. 160" pbc="T T T"
Ru 13.4320 2.2034 1.2949
Mg 6.4732 1.0619 0.6241
Mg 0.1072 0.0176 0.0103
Al 20.6987 3.3954 1.9955

---

(8)
5
Lattice="-2.5183 -3.3265 0.3055 3.0523 -2.4468 -1.4824 3.7137 -4.5866 9.3143" Properties=species:S:1:pos:R:3 comment="Na2Sr2Ga | the Alexandria database | PBE-GGA | optimized geometry" dos_ef_per_ev_atom=1.154 relative_energy_mev_per_atom=138.3 delta_e_f_mev_per_atom=-25 mass_density_g_cm3=2.599 m_tot_mub_per_fu=0.00 spacegroup="I4/mmm, No. 139" pbc="T T T"
Na 0.7312 -5.3999 4.5156
Na 3.5165 -4.9600 3.6217
Sr 3.3929 -7.1834 7.0370
Sr 0.8548 -3.1766 1.1004
Ga 0.0000 0.0000 0.0000